[1]
# PBE HfSc2Tl2, relaxed
data_HfSc2Tl2
_space_group_name_H-M_alt 'P 4/m b m'
_space_group_IT_number 127
_space_group_name_Hall '-P 4 2ab'
_cell_length_a 8.094
_cell_length_b 8.094
_cell_length_c 3.571
_cell_angle_alpha 90.00
_cell_angle_beta 90.00
_cell_angle_gamma 90.00
loop_
_atom_site_label
_atom_site_type_symbol
_atom_site_fract_x
_atom_site_fract_y
_atom_site_fract_z
Hf1 Hf 0.000 0.000 0.000
Sc1 Sc 0.168 0.332 0.500
Tl1 Tl 0.137 0.637 0.000
# uncorrected energy: -55.16 eV/cell
# crystal system: tetragonal


[2]
# PBE HfScTl, relaxed
data_HfScTl
_space_group_name_H-M_alt 'F -4 3 m'
_space_group_IT_number 216
_space_group_name_Hall 'F -4 2 3'
_cell_length_a 6.786
_cell_length_b 6.786
_cell_length_c 6.786
_cell_angle_alpha 90.00
_cell_angle_beta 90.00
_cell_angle_gamma 90.00
loop_
_atom_site_label
_atom_site_type_symbol
_atom_site_fract_x
_atom_site_fract_y
_atom_site_fract_z
Hf1 Hf 0.000 0.000 0.000
Sc1 Sc 0.000 0.000 0.500
Tl1 Tl 0.250 0.250 0.250
# uncorrected energy: -70.46 eV/cell
# crystal system: cubic


[3]
# PBE Hf2ScTl, relaxed
data_Hf2ScTl
_space_group_name_H-M_alt 'F -4 3 m'
_space_group_IT_number 216
_space_group_name_Hall 'F -4 2 3'
_cell_length_a 7.061
_cell_length_b 7.061
_cell_length_c 7.061
_cell_angle_alpha 90.00
_cell_angle_beta 90.00
_cell_angle_gamma 90.00
loop_
_atom_site_label
_atom_site_type_symbol
_atom_site_fract_x
_atom_site_fract_y
_atom_site_fract_z
Hf1 Hf 0.000 0.000 0.000
Hf2 Hf 0.250 0.250 0.250
Sc1 Sc 0.250 0.250 0.750
Tl1 Tl 0.000 0.000 0.500
# uncorrected energy: -112.02 eV/cell
# crystal system: cubic


[4]
# PBE TmHfSc, relaxed
data_TmHfSc
_space_group_name_H-M_alt 'F -4 3 m'
_space_group_IT_number 216
_space_group_name_Hall 'F -4 2 3'
_cell_length_a 7.064
_cell_length_b 7.064
_cell_length_c 7.064
_cell_angle_alpha 90.00
_cell_angle_beta 90.00
_cell_angle_gamma 90.00
loop_
_atom_site_label
_atom_site_type_symbol
_atom_site_fract_x
_atom_site_fract_y
_atom_site_fract_z
Tm1 Tm 0.000 0.000 0.000
Hf1 Hf 0.250 0.250 0.750
Sc1 Sc 0.000 0.000 0.500
# uncorrected energy: -72.26 eV/cell
# crystal system: cubic
# formation energy: 86.66 kJ per mole of atoms


[5]
# PBE HfScW, relaxed
data_HfScW
_space_group_name_H-M_alt 'F -4 3 m'
_space_group_IT_number 216
_space_group_name_Hall 'F -4 2 3'
_cell_length_a 6.453
_cell_length_b 6.453
_cell_length_c 6.453
_cell_angle_alpha 90.00
_cell_angle_beta 90.00
_cell_angle_gamma 90.00
loop_
_atom_site_label
_atom_site_type_symbol
_atom_site_fract_x
_atom_site_fract_y
_atom_site_fract_z
Hf1 Hf 0.000 0.000 0.000
Sc1 Sc 0.000 0.000 0.500
W1 W 0.250 0.250 0.250
# uncorrected energy: -108.93 eV/cell
# crystal system: cubic
# formation energy: 64.68 kJ per mole of atoms


[6]
# PBE YHfSc, relaxed
data_YHfSc
_space_group_name_H-M_alt 'F -4 3 m'
_space_group_IT_number 216
_space_group_name_Hall 'F -4 2 3'
_cell_length_a 7.112
_cell_length_b 7.112
_cell_length_c 7.112
_cell_angle_alpha 90.00
_cell_angle_beta 90.00
_cell_angle_gamma 90.00
loop_
_atom_site_label
_atom_site_type_symbol
_atom_site_fract_x
_atom_site_fract_y
_atom_site_fract_z
Y1 Y 0.000 0.000 0.000
Hf1 Hf 0.250 0.250 0.750
Sc1 Sc 0.000 0.000 0.500
# uncorrected energy: -80.00 eV/cell
# crystal system: cubic
# formation energy: 88.44 kJ per mole of atoms


Q: Which value of uncorrected energy does entry 2 give?
A: -70.46 eV/cell


Q: Which value of uncorrected energy does entry 2 give?
A: -70.46 eV/cell


Q: Which formula does entry 4 have?
A: TmHfSc


Q: Number 2 is which compound?
A: HfScTl